The following is a DFT calculation (SCAN) of a PBEsol-optimized structure of HfReHg2C.

Geometry as CIF:
```
data_HfReHg2C
_space_group_name_H-M_alt 'P 1'
_space_group_IT_number 1
_space_group_name_Hall 'P 1'
_cell_length_a 5.392
_cell_length_b 5.392
_cell_length_c 4.771
_cell_angle_alpha 90.00
_cell_angle_beta 90.00
_cell_angle_gamma 90.00
loop_
_atom_site_label
_atom_site_fract_x
_atom_site_fract_y
_atom_site_fract_z
Hf1 0.000 0.000 0.000
Re1 0.000 0.000 0.500
Hg1 0.000 0.500 0.000
Hg2 0.500 0.000 0.000
C1 0.500 0.500 0.500
```

- N(E_F): 5.13 states/eV/f.u.
- M_tot: 4.06 μB/f.u.
- VASP energy: -53.38 eV per atom
- E_form: 2.66 eV per atom